(1)
PAuO3 | GGA-PBE | optimized geometry

Geometry as POSCAR:
```
PAuO3
1.0
4.009 0.000 0.000
0.000 4.009 0.000
0.000 0.000 4.009
O P Au
3 1 1
Direct
0.000 0.500 0.000 O
0.500 0.000 0.000 O
0.000 0.000 0.500 O
0.500 0.500 0.500 P
0.000 0.000 0.000 Au
```

Values from the calculation:
Uncorrected formation energy ... 820 meV per atom
DOS(E_F) ... 0.59 states/eV/atom
M_tot ... 0.000 μB per atom
SG ... Pm-3m

=====

(2)
CuGeP | GGA-PBE | optimized geometry

Geometry as POSCAR:
```
CuGeP
1.0
-1.961 3.039 -0.123
-0.763 -2.432 5.685
4.554 2.887 -0.546
P Ge Cu
2 2 2
Direct
0.613 0.724 0.339 P
0.387 0.276 0.661 P
0.818 0.135 0.850 Ge
0.182 0.865 0.150 Ge
0.595 0.684 0.744 Cu
0.405 0.316 0.256 Cu
```

Values from the calculation:
DOS(E_F) ... 0.22 states/eV/atom
M_tot ... 0.000 μB per atom
Polymorph energy (0 for the lowest one) ... 0.016 eV per atom
SG ... P-1

=====

(3)
La2GeSb3Pd4 | GGA-PBE | optimized geometry

Geometry as POSCAR:
```
La2GeSb3Pd4
1.0
-4.352 -1.024 -1.063
1.476 -3.111 -3.043
-0.096 -7.429 7.548
Pd Ge Sb La
4 1 3 2
Direct
0.000 0.500 0.380 Pd
0.000 0.000 0.000 Pd
0.500 0.500 0.000 Pd
0.500 0.000 0.620 Pd
0.500 0.500 0.500 Ge
0.000 0.000 0.500 Sb
0.000 0.500 0.133 Sb
0.500 0.000 0.867 Sb
0.000 0.500 0.750 La
0.500 0.000 0.250 La
```

Values from the calculation:
Uncorrected formation energy ... -890 meV per atom
DOS(E_F) ... 0.63 states/eV/atom
M_tot ... 0.000 μB per atom
SG ... P-4m2

=====

(4)
LaCe3Th2P6 | GGA-PBE | optimized geometry

Geometry as POSCAR:
```
LaCe3Th2P6
1.0
7.173 0.000 0.001
-3.585 6.213 0.001
-1.196 -2.072 6.756
Ce Th La P
3 2 1 6
Direct
0.500 0.500 0.500 Ce
0.165 0.835 0.500 Ce
0.835 0.165 0.500 Ce
0.333 0.667 0.000 Th
0.667 0.333 0.000 Th
0.000 0.000 0.000 La
0.576 0.915 0.745 P
0.085 0.424 0.255 P
0.915 0.576 0.745 P
0.424 0.085 0.255 P
0.746 0.746 0.255 P
0.254 0.254 0.745 P
```

Values from the calculation:
DOS(E_F) ... 1.35 states/eV/atom
M_tot ... 0.137 μB per atom
SG ... C2/m

=====

(5)
AlHgW2 | GGA-PBE | optimized geometry

Geometry as POSCAR:
```
AlHgW2
1.0
4.501 0.000 0.000
0.000 2.828 -0.008
0.000 0.773 5.336
W Hg Al
2 1 1
Direct
0.000 0.048 0.019 W
0.500 0.234 0.252 W
0.500 0.631 0.745 Hg
0.000 0.588 0.484 Al
```

Values from the calculation:
DOS(E_F) ... 0.37 states/eV/atom
M_tot ... 0.000 μB per atom
Polymorph energy (0 for the lowest one) ... 0.054 eV per atom
SG ... Pm

=====

(6)
TiPHO2 | GGA-PBE | optimized geometry

Geometry as POSCAR:
```
TiPHO2
1.0
-1.153 1.140 3.314
2.677 -1.965 1.607
3.324 4.273 -0.313
Ti O P H
1 2 1 1
Direct
0.000 0.000 0.000 Ti
0.500 0.000 0.000 O
0.000 0.500 0.000 O
0.000 0.000 0.500 P
0.500 0.500 0.500 H
```

Values from the calculation:
DOS(E_F) ... 0.43 states/eV/atom
M_tot ... 0.051 μB per atom
Polymorph energy (0 for the lowest one) ... 0.000 eV per atom
SG ... P4/mmm

=====

(7)
BaBe2Cl6 | GGA-PBE | optimized geometry

Geometry as POSCAR:
```
BaBe2Cl6
1.0
-4.227 2.946 -2.944
-3.771 -7.549 -3.657
-5.878 0.151 7.071
Cl Be Ba
12 4 2
Direct
0.418 0.721 0.604 Cl
0.918 0.604 0.721 Cl
0.884 0.830 0.449 Cl
0.779 0.208 0.049 Cl
0.116 0.170 0.551 Cl
0.279 0.049 0.208 Cl
0.616 0.551 0.170 Cl
0.221 0.792 0.951 Cl
0.721 0.951 0.792 Cl
0.082 0.396 0.279 Cl
0.582 0.279 0.396 Cl
0.384 0.449 0.830 Cl
0.261 0.224 0.362 Be
0.739 0.776 0.638 Be
0.761 0.362 0.224 Be
0.239 0.638 0.776 Be
0.250 0.141 0.859 Ba
0.750 0.859 0.141 Ba
```

Values from the calculation:
Uncorrected formation energy ... -1755 meV per atom
DOS(E_F) ... 0.00 states/eV/atom
M_tot ... 0.000 μB per atom
SG ... C2/c

=====

(8)
Sb2TeRu | GGA-PBE | optimized geometry

Geometry as POSCAR:
```
Sb2TeRu
1.0
8.657 -0.066 -0.039
7.921 3.493 -0.039
7.921 1.638 3.086
Te Sb Ru
1 2 1
Direct
0.250 0.250 0.250 Te
0.017 0.017 0.017 Sb
0.483 0.483 0.483 Sb
0.750 0.750 0.750 Ru
```

Values from the calculation:
Uncorrected formation energy ... 127 meV per atom
DOS(E_F) ... 1.08 states/eV/atom
M_tot ... 0.055 μB per atom
SG ... R-3m

=====

(9)
RbSnF3 | GGA-PBE | optimized geometry

Geometry as POSCAR:
```
RbSnF3
1.0
-13.744 -6.905 18.882
-1.391 -5.404 -2.989
6.977 1.008 -5.069
F Sn Rb
12 4 4
Direct
0.764 0.303 0.110 F
0.736 0.803 0.390 F
0.921 0.520 0.080 F
0.079 0.480 0.920 F
0.457 0.524 0.689 F
0.421 0.980 0.580 F
0.264 0.197 0.610 F
0.043 0.024 0.811 F
0.543 0.476 0.311 F
0.579 0.020 0.420 F
0.957 0.976 0.189 F
0.236 0.697 0.890 F
0.499 0.250 0.361 Sn
0.001 0.750 0.139 Sn
0.999 0.250 0.861 Sn
0.501 0.750 0.639 Sn
0.671 0.227 0.382 Rb
0.171 0.273 0.882 Rb
0.329 0.773 0.618 Rb
0.829 0.727 0.118 Rb
```

Values from the calculation:
Uncorrected formation energy ... -2540 meV per atom
DOS(E_F) ... 0.00 states/eV/atom
M_tot ... 0.000 μB per atom
SG ... P2_1/c

=====

(10)
Hf3Al4C6 | GGA-PBE | optimized geometry

Geometry as POSCAR:
```
Hf3Al4C6
1.0
-15.664 3.847 3.168
-15.811 0.772 4.428
-14.803 3.305 6.335
Al C Hf
4 6 3
Direct
0.768 0.768 0.768 Al
0.232 0.232 0.232 Al
0.852 0.852 0.852 Al
0.148 0.148 0.148 Al
0.083 0.083 0.083 C
0.808 0.808 0.808 C
0.306 0.306 0.306 C
0.192 0.192 0.192 C
0.694 0.694 0.694 C
0.917 0.917 0.917 C
0.000 0.000 0.000 Hf
0.388 0.388 0.388 Hf
0.612 0.612 0.612 Hf
```

Values from the calculation:
DOS(E_F) ... 0.14 states/eV/atom
M_tot ... 0.000 μB per atom
SG ... R-3m

=====

(11)
MnTc2PtN | GGA-PBE | optimized geometry

Geometry as POSCAR:
```
MnTc2PtN
1.0
4.022 0.000 0.000
0.000 4.022 0.000
0.000 0.000 3.856
Tc N Mn Pt
2 1 1 1
Direct
0.500 0.000 0.000 Tc
0.000 0.500 0.000 Tc
0.000 0.000 0.000 N
0.000 0.000 0.500 Mn
0.500 0.500 0.500 Pt
```

Values from the calculation:
Uncorrected formation energy ... -86 meV per atom
DOS(E_F) ... 0.94 states/eV/atom
M_tot ... 0.000 μB per atom
SG ... P4/mmm

=====

(12)
Pu3Tc | GGA-PBE | optimized geometry

Geometry as POSCAR:
```
Pu3Tc
1.0
-0.807 -2.751 -0.741
2.173 0.784 -5.279
3.406 -0.606 4.457
Pu Tc
3 1
Direct
0.742 0.007 0.484 Pu
0.258 0.523 0.516 Pu
0.500 0.567 0.000 Pu
0.000 0.071 0.000 Tc
```

Values from the calculation:
DOS(E_F) ... 2.89 states/eV/atom
M_tot ... 1.016 μB per atom
SG ... Imm2

=====

no.,energy (eV/atom)
1,-3.89
2,-4.58
3,-5.65
4,-7.38
5,-7.10
6,-5.96
7,-4.03
8,-5.04
9,-4.66
10,-8.17
11,-8.94
12,-13.11